Computed, not measured: a geometry-optimized ThBiPt structure at the PBE level of DFT.

The value obtained for the total energy is -6.661 eV/atom. Its space-group type is Cmcm (63). The calculation puts the formation energy from the elements at -0.880 eV/atom.

a b c (Å): 5.873 5.873 6.372
angles (deg): 90.00 90.00 135.03
Sites, in units of the cell vectors:
Th 0.194 0.806 0.750
Th 0.806 0.194 0.250
Bi 0.500 0.500 0.000
Bi 0.500 0.500 0.500
Pt 0.140 0.860 0.250
Pt 0.860 0.140 0.750

=====

Computed, not measured: a geometry-optimized TaSnO2F structure at the PBE level of DFT.

The value obtained for the total energy is -7.270 eV/atom. Its space-group type is P4/mmm (123). As for the uncorrected formation energy: -1.742 eV per atom.

a b c (Å): 4.031 4.031 4.460
angles (deg): 90.00 90.00 90.00
Sites, in units of the cell vectors:
Ta 0.000 0.000 0.000
Sn 0.500 0.500 0.500
O 0.000 0.500 0.000
O 0.500 0.000 0.000
F 0.000 0.000 0.500

=====

Computed, not measured: a geometry-optimized NaH3Pd structure at the PBE level of DFT.

The value obtained for the total energy is -3.486 eV/atom. Its space-group type is Cc (9).

a b c (Å): 5.101 5.101 5.086
angles (deg): 114.32 114.32 94.31
Sites, in units of the cell vectors:
Na 0.149 0.851 0.500
Na 0.851 0.149 0.000
H 0.002 0.509 0.758
H 0.290 0.431 0.196
H 0.431 0.290 0.696
H 0.509 0.002 0.258
H 0.567 0.712 0.807
H 0.712 0.567 0.307
Pd 0.404 0.599 0.004
Pd 0.599 0.404 0.504

=====

Copy entry 3 word for word.
Computed, not measured: a geometry-optimized NaH3Pd structure at the PBE level of DFT.

The value obtained for the total energy is -3.486 eV/atom. Its space-group type is Cc (9).

a b c (Å): 5.101 5.101 5.086
angles (deg): 114.32 114.32 94.31
Sites, in units of the cell vectors:
Na 0.149 0.851 0.500
Na 0.851 0.149 0.000
H 0.002 0.509 0.758
H 0.290 0.431 0.196
H 0.431 0.290 0.696
H 0.509 0.002 0.258
H 0.567 0.712 0.807
H 0.712 0.567 0.307
Pd 0.404 0.599 0.004
Pd 0.599 0.404 0.504

=====

Which of these has the highest total energy?
NaH3Pd